No. 1
Density functional theory data (PBE) for a geometry-optimized Cu5Pt2Au structure.

a b c (Å): 5.307 5.307 5.307
angles (deg): 116.91 116.91 95.44
Positions (direct):
Cu (0.000, 0.000, 0.000)
Cu (0.000, 0.000, 0.500)
Cu (0.000, 0.500, 0.000)
Cu (0.500, 0.000, 0.000)
Cu (0.500, 0.500, 0.500)
Pt (0.000, 0.500, 0.500)
Pt (0.500, 0.000, 0.500)
Au (0.500, 0.500, 0.000)

Values from the calculation:
- formation enthalpy at 0 K (eV per atom) = -0.114
- space group = No. 139

No. 2
Density functional theory data (PBE) for a geometry-optimized Sm3VAg3Se8 structure.

a b c (Å): 8.112 8.112 8.135
angles (deg): 118.91 118.91 61.18
Positions (direct):
Sm (0.000, 0.000, 0.000)
Sm (0.000, 0.500, 0.500)
Sm (0.500, 0.000, 0.500)
V (0.500, 0.500, 0.000)
Ag (0.000, 0.500, 0.000)
Ag (0.500, 0.000, 0.000)
Ag (0.500, 0.500, 0.500)
Se (0.252, 0.252, 0.249)
Se (0.274, 0.274, 0.778)
Se (0.274, 0.721, 0.224)
Se (0.279, 0.726, 0.776)
Se (0.721, 0.274, 0.224)
Se (0.726, 0.279, 0.776)
Se (0.726, 0.726, 0.222)
Se (0.748, 0.748, 0.751)

Values from the calculation:
- ΔE_f (raw) (kcal/mol of atoms) = -22.84
- space group = No. 12

No. 3
Density functional theory data (PBE) for a geometry-optimized Co2BiCl structure.

a b c (Å): 4.542 4.542 4.542
angles (deg): 60.00 60.00 60.00
Positions (direct):
Co (0.250, 0.250, 0.250)
Co (0.750, 0.750, 0.750)
Bi (0.000, 0.000, 0.000)
Cl (0.500, 0.500, 0.500)

Values from the calculation:
- ΔE_f (raw) (kcal/mol of atoms) = 15.51
- distance to the lowest polymorph of the same formula (meV per atom) = 293.3
- space group = No. 225

No. 4
Density functional theory data (PBE) for a geometry-optimized Y2TmTl2Ag2 structure.

a b c (Å): 9.438 9.438 9.438
angles (deg): 29.78 29.78 29.78
Positions (direct):
Y (0.125, 0.125, 0.125)
Y (0.875, 0.875, 0.875)
Tm (0.000, 0.000, 0.000)
Tl (0.259, 0.259, 0.259)
Tl (0.741, 0.741, 0.741)
Ag (0.390, 0.390, 0.390)
Ag (0.610, 0.610, 0.610)

Values from the calculation:
- formation enthalpy at 0 K (eV per atom) = -0.164
- space group = No. 166

Number 1: total magnetization 0.000 μB/atom, raw total energy -4.594 eV/atom. Number 2: total magnetization 0.078 μB/atom, raw total energy -4.971 eV/atom. Number 3: total magnetization 0.414 μB/atom, raw total energy -4.312 eV/atom. Number 4: total magnetization 0.000 μB/atom, raw total energy -4.141 eV/atom.